Entry 1:
The following is a PBE calculation of CaCeP2O8 after structural relaxation, from the Alexandria database.

Cell lengths 5.375, 5.375, 7.052 Å; angles 90.00, 90.00, 120.00 degrees
Fractional positions:
Ca (0.000, 0.000, 0.000)
Ce (0.000, 0.000, 0.500)
P (0.333, 0.667, 0.798)
P (0.667, 0.333, 0.202)
O (0.176, 0.353, 0.717)
O (0.178, 0.824, 0.717)
O (0.333, 0.667, 0.012)
O (0.353, 0.178, 0.283)
O (0.647, 0.822, 0.717)
O (0.667, 0.333, 0.988)
O (0.822, 0.176, 0.283)
O (0.824, 0.647, 0.283)

Raw formation energy (eV per atom): -2.725
Calculated total energy (eV/atom): -7.593

=====

Entry 2:
The following is a PBE calculation of Ca2CePO8 after structural relaxation, from the Alexandria database.

Cell lengths 5.238, 5.238, 6.057 Å; angles 90.00, 90.00, 120.00 degrees
Fractional positions:
Ca (0.333, 0.667, 0.386)
Ca (0.667, 0.333, 0.614)
Ce (0.000, 0.000, 0.000)
P (0.000, 0.000, 0.500)
O (0.151, 0.302, 0.668)
O (0.151, 0.849, 0.668)
O (0.302, 0.151, 0.332)
O (0.333, 0.667, 0.022)
O (0.667, 0.333, 0.978)
O (0.698, 0.849, 0.668)
O (0.849, 0.151, 0.332)
O (0.849, 0.698, 0.332)

Raw formation energy (eV per atom): -2.017
Calculated total energy (eV/atom): -6.601
Fermi-level density of states (states/eV per cell): 6.4